K2PuU2Te6 | the Alexandria database | GGA-PBE | relaxed; total magnetization = 10.00 μB per formula unit; SG = C2/m (12); formation energy without anion corrections = -0.9033 eV/atom
1.0
7.734 -0.037 0.076
-3.855 6.705 0.076
-1.367 -2.349 8.358
K Te U Pu
2 6 2 1
Cartesian
5.825 1.073 0.076
-1.946 5.594 0.076
1.917 -1.210 5.948
1.854 3.186 6.022
0.595 5.528 2.562
0.659 1.132 2.488
-2.000 1.069 5.948
4.512 3.250 2.562
-0.678 3.284 4.255
3.190 1.034 4.255
-0.683 -1.175 4.179

K3Pu3VTe8 | the Alexandria database | GGA-PBE | relaxed; total magnetization = 16.00 μB per formula unit; SG = C2/m (12); formation energy without anion corrections = -0.9097 eV/atom
1.0
8.768 0.002 -0.002
-4.383 7.596 -0.034
-0.002 -5.023 8.453
V Te K Pu
1 8 3 3
Cartesian
-0.001 -2.512 4.227
0.000 -0.158 5.846
4.383 2.733 2.570
-0.001 2.545 2.416
6.734 -1.344 2.588
4.385 0.029 6.001
2.030 -1.346 2.590
-2.351 3.918 5.829
2.354 3.920 5.827
2.193 3.799 -0.018
0.000 0.000 0.000
-2.191 3.798 -0.017
2.192 1.287 4.208
-2.192 1.286 4.209
4.383 -2.511 4.225